The following is a DFT calculation (PBE) of Ta2AsPb after structural relaxation. Values from VASP.

Cell and atoms, written as Quantum ESPRESSO input:
```
&SYSTEM
  ibrav = 0, nat = 4, ntyp = 3
/
ATOMIC_SPECIES
Ta 180.95 Ta.upf
As 74.92 As.upf
Pb 207.20 Pb.upf
CELL_PARAMETERS angstrom
1.800 -2.414 0.000
1.800 2.414 0.000
0.000 0.000 10.437
ATOMIC_POSITIONS crystal
Ta 0.000 0.000 0.000
Ta 0.500 0.500 0.208
As 0.000 0.000 0.393
Pb 0.500 0.500 0.753
```

Its total magnetic moment is 0.00 μB/atom. The polymorph energy (0 for the lowest one) is 81 meV per atom. The crystal system is orthorhombic.


The following is a DFT calculation (PBE) of CsKNpS3 after structural relaxation. Values from VASP.

Cell and atoms, written as Quantum ESPRESSO input:
```
&SYSTEM
  ibrav = 0, nat = 12, ntyp = 4
/
ATOMIC_SPECIES
Cs 132.91 Cs.upf
K 39.10 K.upf
Np 237.00 Np.upf
S 32.06 S.upf
CELL_PARAMETERS angstrom
3.846 -7.666 0.000
3.846 7.666 0.000
-1.256 0.000 7.237
ATOMIC_POSITIONS crystal
Cs 0.249 0.751 0.750
Cs 0.751 0.249 0.250
K 0.419 0.581 0.250
K 0.581 0.419 0.750
Np 0.053 0.947 0.250
Np 0.947 0.053 0.750
S 0.177 0.252 0.503
S 0.217 0.783 0.250
S 0.252 0.177 0.003
S 0.748 0.823 0.997
S 0.783 0.217 0.750
S 0.823 0.748 0.497
```

Its total magnetic moment is 0.50 μB/atom. The crystal system is monoclinic. For the uncorrected formation energy, the calculation gives -7.65 eV/f.u.


The following is a DFT calculation (PBE) of Zr3CuTc after structural relaxation. Values from VASP.

Cell and atoms, written as Quantum ESPRESSO input:
```
&SYSTEM
  ibrav = 0, nat = 5, ntyp = 3
/
ATOMIC_SPECIES
Zr 91.22 Zr.upf
Cu 63.55 Cu.upf
Tc 98.00 Tc.upf
CELL_PARAMETERS angstrom
4.809 0.000 0.000
0.000 4.809 0.000
0.000 0.000 4.809
ATOMIC_POSITIONS crystal
Zr 0.000 0.000 0.500
Zr 0.000 0.500 0.000
Zr 0.500 0.000 0.000
Cu 0.000 0.000 0.000
Tc 0.500 0.500 0.500
```

Its total magnetic moment is 0.00 μB/atom. The polymorph energy (0 for the lowest one) is 1082 meV per atom. The crystal system is cubic.


The following is a DFT calculation (PBE) of NdGdBi2 after structural relaxation. Values from VASP.

Cell and atoms, written as Quantum ESPRESSO input:
```
&SYSTEM
  ibrav = 0, nat = 4, ntyp = 3
/
ATOMIC_SPECIES
Nd 144.24 Nd.upf
Gd 157.25 Gd.upf
Bi 208.98 Bi.upf
CELL_PARAMETERS angstrom
5.927 0.000 0.000
0.000 5.927 0.000
0.000 0.000 3.473
ATOMIC_POSITIONS crystal
Nd 0.000 0.000 0.000
Gd 0.500 0.500 0.000
Bi 0.000 0.500 0.500
Bi 0.500 0.000 0.500
```

Its total magnetic moment is 1.83 μB/atom. The polymorph energy (0 for the lowest one) is 192 meV per atom. The crystal system is tetragonal.


The following is a DFT calculation (PBE) of CaEuSb2 after structural relaxation. Values from VASP.

Cell and atoms, written as Quantum ESPRESSO input:
```
&SYSTEM
  ibrav = 0, nat = 4, ntyp = 3
/
ATOMIC_SPECIES
Ca 40.08 Ca.upf
Eu 151.96 Eu.upf
Sb 121.76 Sb.upf
CELL_PARAMETERS angstrom
2.582 1.491 5.364
-2.582 1.491 5.364
0.000 -2.981 5.364
ATOMIC_POSITIONS crystal
Ca 0.000 0.000 0.000
Eu 0.500 0.500 0.500
Sb 0.252 0.252 0.252
Sb 0.748 0.748 0.748
```

Its total magnetic moment is 1.72 μB/atom. The polymorph energy (0 for the lowest one) is 18 meV per atom. The crystal system is trigonal. For the uncorrected formation energy, the calculation gives -3.28 eV/f.u.


The following is a DFT calculation (PBE) of AcPm2Tm7 after structural relaxation. Values from VASP.

Cell and atoms, written as Quantum ESPRESSO input:
```
&SYSTEM
  ibrav = 0, nat = 10, ntyp = 3
/
ATOMIC_SPECIES
Ac 227.00 Ac.upf
Pm 145.00 Pm.upf
Tm 168.93 Tm.upf
CELL_PARAMETERS angstrom
5.887 -8.407 0.000
5.887 8.407 0.000
0.000 0.000 3.579
ATOMIC_POSITIONS crystal
Ac 0.000 0.000 0.000
Pm 0.182 0.818 0.500
Pm 0.818 0.182 0.500
Tm 0.127 0.403 0.500
Tm 0.336 0.664 0.000
Tm 0.403 0.127 0.500
Tm 0.500 0.500 0.500
Tm 0.597 0.873 0.500
Tm 0.664 0.336 0.000
Tm 0.873 0.597 0.500
```

Its final energy is -0.149 Ha/atom. Its total magnetic moment is 0.00 μB/atom. The crystal system is orthorhombic.


The following is a DFT calculation (PBE) of HfAsSN2 after structural relaxation. Values from VASP.

Cell and atoms, written as Quantum ESPRESSO input:
```
&SYSTEM
  ibrav = 0, nat = 5, ntyp = 4
/
ATOMIC_SPECIES
Hf 178.49 Hf.upf
As 74.92 As.upf
S 32.06 S.upf
N 14.01 N.upf
CELL_PARAMETERS angstrom
3.841 0.000 0.000
0.000 3.841 0.000
0.000 0.000 4.552
ATOMIC_POSITIONS crystal
Hf 0.000 0.000 0.000
As 0.500 0.500 0.500
S 0.500 0.500 0.000
N 0.000 0.500 0.500
N 0.500 0.000 0.500
```

Its total magnetic moment is 0.00 μB/atom. The crystal system is tetragonal. For the uncorrected formation energy, the calculation gives 3.18 eV/f.u.


The following is a DFT calculation (PBE) of Zn2Sn2Ge after structural relaxation. Values from VASP.

Cell and atoms, written as Quantum ESPRESSO input:
```
&SYSTEM
  ibrav = 0, nat = 10, ntyp = 3
/
ATOMIC_SPECIES
Zn 65.41 Zn.upf
Sn 118.71 Sn.upf
Ge 72.64 Ge.upf
CELL_PARAMETERS angstrom
8.158 0.000 0.000
0.000 8.158 0.000
0.000 0.000 3.327
ATOMIC_POSITIONS crystal
Zn 0.112 0.388 0.000
Zn 0.388 0.888 0.000
Zn 0.612 0.112 0.000
Zn 0.888 0.612 0.000
Sn 0.188 0.688 0.500
Sn 0.312 0.188 0.500
Sn 0.688 0.812 0.500
Sn 0.812 0.312 0.500
Ge 0.000 0.000 0.500
Ge 0.500 0.500 0.500
```

Its total magnetic moment is 0.00 μB/atom. The polymorph energy (0 for the lowest one) is 78 meV per atom. The crystal system is tetragonal.